Entry 1:
## Mn2TcW (PBE)

Data for a relaxed structure of Mn2TcW.

Lattice parameters (Å, degrees): 2.6903 2.6903 7.2980 90.00 90.00 90.00
With the nearest neighbours (Å) after each atom.
Fractional positions:
Mn (0.0000, 0.0000, 0.0000)  4 Mn 2.39
Mn (0.5000, 0.5000, 0.1980)  4 Mn 2.39, 4 Tc 2.60
Tc (0.0000, 0.0000, 0.4407)  4 Mn 2.60, 4 Tc 2.69, 4 W 2.89
W (0.5000, 0.5000, 0.7387)  4 W 2.69, 4 Mn 2.69, 4 Tc 2.89

Output
size of the total moment = 0.2 μB per cell
DOS at the Fermi energy = 5.2 states/eV per cell
energy of formation = 0.156 eV per atom
crystal system = tetragonal
energy above the most stable polymorph in this dataset = 89 meV/atom
E_tot = -10.2589 eV per atom

***

Entry 2:
## Mn2TcW2 (PBE)

Data for a relaxed structure of Mn2TcW2.

Lattice parameters (Å, degrees): 6.9151 6.9151 2.9193 90.00 90.00 90.00
With the nearest neighbours (Å) after each atom.
Fractional positions:
Mn (0.1329, 0.3671, 0.0000)  6 W 2.43-2.55, 1 Mn 2.60, 2 Tc 2.70
Mn (0.3671, 0.8671, 0.0000)  6 W 2.43-2.55, 1 Mn 2.60, 2 Tc 2.70
Mn (0.6329, 0.1329, 0.0000)  6 W 2.43-2.55, 1 Mn 2.60, 2 Tc 2.70
Mn (0.8671, 0.6329, 0.0000)  6 W 2.43-2.55, 1 Mn 2.60, 2 Tc 2.70
Tc (0.0000, 0.0000, 0.0000)  4 Mn 2.70, 2 Tc 2.92, 8 W 2.96
Tc (0.5000, 0.5000, 0.0000)  4 Mn 2.70, 2 Tc 2.92, 8 W 2.96
W (0.1683, 0.6683, 0.5000)  6 Mn 2.43-2.55
W (0.3317, 0.1683, 0.5000)  6 Mn 2.43-2.55
W (0.6683, 0.8317, 0.5000)  6 Mn 2.43-2.55
W (0.8317, 0.3317, 0.5000)  6 Mn 2.43-2.55

Output
size of the total moment = 0.0 μB per cell
DOS at the Fermi energy = 11.5 states/eV per cell
energy of formation = 0.291 eV per atom
crystal system = tetragonal
E_tot = -10.6315 eV per atom

***

Entry 3:
## MnTcW2 (PBE)

Data for a relaxed structure of MnTcW2.

Lattice parameters (Å, degrees): 2.7812 2.7812 26.3600 90.00 90.00 120.00
With the nearest neighbours (Å) after each atom.
Fractional positions:
Mn (0.0000, 0.0000, 0.0000)  6 W 2.65, 6 Mn 2.78
Mn (0.3333, 0.6667, 0.6667)  6 W 2.65, 6 Mn 2.78
Mn (0.6667, 0.3333, 0.3333)  6 W 2.65, 6 Mn 2.78
Tc (0.0000, 0.0000, 0.5000)  6 Tc 2.78, 6 W 2.79
Tc (0.3333, 0.6667, 0.1667)  6 Tc 2.78, 6 W 2.79
Tc (0.6667, 0.3333, 0.8333)  6 Tc 2.78, 6 W 2.79
W (0.0000, 0.0000, 0.2534)  3 Mn 2.65, 6 W 2.78, 3 Tc 2.79
W (0.0000, 0.0000, 0.7466)  3 Mn 2.65, 6 W 2.78, 3 Tc 2.79
W (0.3333, 0.6667, 0.4133)  3 Mn 2.65, 6 W 2.78, 3 Tc 2.79
W (0.3333, 0.6667, 0.9200)  3 Mn 2.65, 6 W 2.78, 3 Tc 2.79
W (0.6667, 0.3333, 0.0800)  3 Mn 2.65, 6 W 2.78, 3 Tc 2.79
W (0.6667, 0.3333, 0.5867)  3 Mn 2.65, 6 W 2.78, 3 Tc 2.79

Output
size of the total moment = 0.0 μB per cell
DOS at the Fermi energy = 13.2 states/eV per cell
energy of formation = 0.331 eV per atom
crystal system = trigonal
energy above the most stable polymorph in this dataset = 257 meV/atom
E_tot = -11.0296 eV per atom

***

energy of formation of number 1 (Mn2TcW)? 0.156 eV per atom